# LiMn6Ge6 | Alexandria | GGA-PBE | optimized geometry
# SG: No. 71
# total DFT energy (no corrections): -6.68 eV/atom
# energy of formation: -0.174 eV/atom
data_LiMn6Ge6
_chemical_formula_sum 'Li1 Mn6 Ge6'
_cell_length_a 5.146
_cell_length_b 6.526
_cell_length_c 6.526
_cell_angle_alpha 76.11
_cell_angle_beta 66.78
_cell_angle_gamma 66.78
_space_group_name_H-M_alt 'P 1'
_space_group_IT_number 1
_space_group_name_Hall 'P 1'
loop_
_atom_site_label
_atom_site_type_symbol
_atom_site_fract_x
_atom_site_fract_y
_atom_site_fract_z
Ge1 Ge 0.000 0.673 0.327
Ge2 Ge 0.663 0.837 0.837
Ge3 Ge 0.330 0.670 0.670
Ge4 Ge 0.670 0.330 0.330
Ge5 Ge 0.337 0.163 0.163
Ge6 Ge 0.000 0.327 0.673
Mn1 Mn 0.500 0.000 0.500
Mn2 Mn 0.500 0.746 0.254
Mn3 Mn 0.000 0.000 0.500
Mn4 Mn 0.000 0.500 0.000
Mn5 Mn 0.500 0.500 0.000
Mn6 Mn 0.500 0.254 0.746
Li1 Li 0.000 0.000 0.000

=====

# LiMn3Ge | Alexandria | GGA-PBE | optimized geometry
# SG: No. 221
# total DFT energy (no corrections): -5.93 eV/atom
# energy of formation: 0.881 eV/atom
data_LiMn3Ge
_chemical_formula_sum 'Li1 Mn3 Ge1'
_cell_length_a 4.207
_cell_length_b 4.207
_cell_length_c 4.207
_cell_angle_alpha 90.00
_cell_angle_beta 90.00
_cell_angle_gamma 90.00
_space_group_name_H-M_alt 'P 1'
_space_group_IT_number 1
_space_group_name_Hall 'P 1'
loop_
_atom_site_label
_atom_site_type_symbol
_atom_site_fract_x
_atom_site_fract_y
_atom_site_fract_z
Mn1 Mn 0.000 0.500 0.000
Mn2 Mn 0.000 0.000 0.500
Mn3 Mn 0.500 0.000 0.000
Li1 Li 0.000 0.000 0.000
Ge1 Ge 0.500 0.500 0.500

=====

# LiMnGeMo | Alexandria | GGA-PBE | optimized geometry
# SG: No. 216
# total DFT energy (no corrections): -6.78 eV/atom
# energy of formation: -0.149 eV/atom
data_LiMnGeMo
_chemical_formula_sum 'Li1 Mn1 Ge1 Mo1'
_cell_length_a 4.139
_cell_length_b 4.139
_cell_length_c 4.139
_cell_angle_alpha 60.00
_cell_angle_beta 60.00
_cell_angle_gamma 60.00
_space_group_name_H-M_alt 'P 1'
_space_group_IT_number 1
_space_group_name_Hall 'P 1'
loop_
_atom_site_label
_atom_site_type_symbol
_atom_site_fract_x
_atom_site_fract_y
_atom_site_fract_z
Ge1 Ge 0.250 0.250 0.250
Li1 Li 0.500 0.500 0.500
Mo1 Mo 0.750 0.750 0.750
Mn1 Mn 0.000 0.000 0.000

=====

# Li2Mn2Ge2N | Alexandria | GGA-PBE | optimized geometry
# SG: No. 139
# total DFT energy (no corrections): -5.97 eV/atom
data_Li2Mn2Ge2N
_chemical_formula_sum 'Li2 Mn2 Ge2 N1'
_cell_length_a 3.751
_cell_length_b 3.751
_cell_length_c 7.193
_cell_angle_alpha 105.12
_cell_angle_beta 105.12
_cell_angle_gamma 90.00
_space_group_name_H-M_alt 'P 1'
_space_group_IT_number 1
_space_group_name_Hall 'P 1'
loop_
_atom_site_label
_atom_site_type_symbol
_atom_site_fract_x
_atom_site_fract_y
_atom_site_fract_z
N1 N 0.000 0.000 0.000
Ge1 Ge 0.632 0.632 0.263
Ge2 Ge 0.368 0.368 0.737
Li1 Li 0.834 0.834 0.669
Li2 Li 0.166 0.166 0.331
Mn1 Mn 0.500 0.000 0.000
Mn2 Mn 0.000 0.500 0.000

=====

# LiMn2GeN | Alexandria | GGA-PBE | optimized geometry
# SG: No. 123
# total DFT energy (no corrections): -6.91 eV/atom
data_LiMn2GeN
_chemical_formula_sum 'Li1 Mn2 Ge1 N1'
_cell_length_a 3.787
_cell_length_b 3.787
_cell_length_c 3.911
_cell_angle_alpha 90.00
_cell_angle_beta 90.00
_cell_angle_gamma 90.00
_space_group_name_H-M_alt 'P 1'
_space_group_IT_number 1
_space_group_name_Hall 'P 1'
loop_
_atom_site_label
_atom_site_type_symbol
_atom_site_fract_x
_atom_site_fract_y
_atom_site_fract_z
Mn1 Mn 0.000 0.500 0.000
Mn2 Mn 0.500 0.000 0.000
N1 N 0.000 0.000 0.000
Li1 Li 0.000 0.000 0.500
Ge1 Ge 0.500 0.500 0.500

=====

# LiMnNb2Ge | Alexandria | GGA-PBE | optimized geometry
# SG: No. 123
# total DFT energy (no corrections): -6.19 eV/atom
# energy of formation: 0.973 eV/atom
data_LiMnNb2Ge
_chemical_formula_sum 'Li1 Mn1 Nb2 Ge1'
_cell_length_a 4.389
_cell_length_b 4.019
_cell_length_c 4.389
_cell_angle_alpha 90.00
_cell_angle_beta 90.00
_cell_angle_gamma 90.00
_space_group_name_H-M_alt 'P 1'
_space_group_IT_number 1
_space_group_name_Hall 'P 1'
loop_
_atom_site_label
_atom_site_type_symbol
_atom_site_fract_x
_atom_site_fract_y
_atom_site_fract_z
Li1 Li 0.000 0.000 0.000
Nb1 Nb 0.500 0.000 0.000
Nb2 Nb 0.000 0.000 0.500
Ge1 Ge 0.000 0.500 0.000
Mn1 Mn 0.500 0.500 0.500

=====

# LiNdMnGe2 | Alexandria | GGA-PBE | optimized geometry
# SG: No. 119
# total DFT energy (no corrections): -5.53 eV/atom
# energy of formation: -0.511 eV/atom
data_LiNdMnGe2
_chemical_formula_sum 'Li1 Nd1 Mn1 Ge2'
_cell_length_a 4.165
_cell_length_b 4.165
_cell_length_c 6.178
_cell_angle_alpha 109.70
_cell_angle_beta 109.70
_cell_angle_gamma 90.00
_space_group_name_H-M_alt 'P 1'
_space_group_IT_number 1
_space_group_name_Hall 'P 1'
loop_
_atom_site_label
_atom_site_type_symbol
_atom_site_fract_x
_atom_site_fract_y
_atom_site_fract_z
Ge1 Ge 0.382 0.382 0.764
Ge2 Ge 0.618 0.618 0.236
Li1 Li 0.250 0.750 0.500
Mn1 Mn 0.750 0.250 0.500
Nd1 Nd 0.000 0.000 0.000